1.
Density functional theory data (GGA-PBE) for crystalline MnSi2Ni at its relaxed geometry.

Cell: 3.660 2.627 5.022 Å, 89.98 90.00 90.00°
Atoms (fractional coordinates):
Mn1 0.500 0.250 0.250
Ni1 0.500 0.750 0.750
Si1 0.000 0.751 0.012
Si2 0.000 0.749 0.488

Calculated values
The formation energy (no corrections) is -0.2548 eV per atom. The volume is 12.08 Å³ per atom. Its crystal system is orthorhombic.



2.
Density functional theory data (GGA-PBE) for crystalline BaLaBe2 at its relaxed geometry.

Cell: 5.100 5.100 5.100 Å, 60.00 60.00 60.00°
Atoms (fractional coordinates):
Be1 0.000 0.000 0.000
Be2 0.250 0.250 0.250
Ba1 0.500 0.500 0.500
La1 0.750 0.750 0.750

Calculated values
The energy above the most stable polymorph in this dataset comes out at 1.98 eV/f.u. The volume is 23.45 Å³ per atom. The energy relative to the elements is 0.748 eV/atom. Its crystal system is cubic.